[1]
This record from the Alexandria database describes a geometry-optimized Cr2SiIr structure. The functional is GGA-PBEsol.

Unit cell a=2.831 b=4.200 c=8.122 alpha=90.00 beta=90.00 gamma=90.00
Space group Imm2 (No. 44)
Asymmetric unit:
Cr: 0.000 0.000 0.000 (multiplicity 2)
Cr: 0.000 0.500 0.256 (multiplicity 2)
Si: 0.000 0.000 0.518 (multiplicity 2)
Ir: 0.000 0.500 0.775 (multiplicity 2)

Summary:
Its density of states at the Fermi level is 3.39 states/eV/f.u. The value obtained for the uncorrected formation energy is -0.204 eV per atom. As for the total magnetization: 0.1 μB per cell.

=====

[2]
This record from the Alexandria database describes a geometry-optimized CrSiIr2 structure. The functional is GGA-PBEsol.

Unit cell a=3.860 b=3.860 c=7.008 alpha=90.00 beta=90.00 gamma=90.00
Space group I4/mmm (No. 139)
Asymmetric unit:
Cr: 0.000 0.000 0.000 (multiplicity 2)
Si: 0.000 0.000 0.500 (multiplicity 2)
Ir: 0.000 0.500 0.250 (multiplicity 4)

Summary:
Its density of states at the Fermi level is 1.17 states/eV/f.u. The value obtained for the uncorrected formation energy is -0.398 eV per atom. As for the total magnetization: 4.2 μB per cell.

=====

[3]
This record from the Alexandria database describes a geometry-optimized Cr2SiIr structure. The functional is GGA-PBEsol.

Unit cell a=2.864 b=3.995 c=8.353 alpha=90.00 beta=90.00 gamma=90.00
Space group Immm (No. 71)
Asymmetric unit:
Cr: 0.000 0.000 0.238 (multiplicity 4)
Si: 0.000 0.500 0.500 (multiplicity 2)
Ir: 0.000 0.500 0.000 (multiplicity 2)

Summary:
Its density of states at the Fermi level is 2.47 states/eV/f.u. The value obtained for the uncorrected formation energy is -0.317 eV per atom. As for the total magnetization: 0.0 μB per cell.

=====

Computed calculated volume (Å³/atom) in order:
12.07, 13.05, 11.95